[1]
# TlSn5 (PBE, relaxed)
data_TlSn5
_cell_length_a 3.451
_cell_length_b 3.451
_cell_length_c 14.231
_cell_angle_alpha 90.00
_cell_angle_beta 90.00
_cell_angle_gamma 90.00
_space_group_name_H-M_alt 'P 4/m m m'
_space_group_IT_number 123
_space_group_name_Hall '-P 4 2'
loop_
_atom_site_label
_atom_site_type_symbol
_atom_site_fract_x
_atom_site_fract_y
_atom_site_fract_z
_atom_site_occupancy
Tl1 Tl 0.000 0.000 0.000 1
Sn1 Sn 0.000 0.000 0.334 1
Sn2 Sn 0.500 0.500 0.176 1
Sn3 Sn 0.500 0.500 0.500 1
# - Energy of formation: 0.037 eV per atom

[2]
# Tl4Sn5 (PBE, relaxed)
data_Tl4Sn5
_cell_length_a 12.378
_cell_length_b 12.378
_cell_length_c 3.434
_cell_angle_alpha 90.00
_cell_angle_beta 90.00
_cell_angle_gamma 90.00
_space_group_name_H-M_alt 'I 4/m m m'
_space_group_IT_number 139
_space_group_name_Hall '-I 4 2'
loop_
_atom_site_label
_atom_site_type_symbol
_atom_site_fract_x
_atom_site_fract_y
_atom_site_fract_z
_atom_site_occupancy
Tl1 Tl 0.000 0.327 0.000 1
Sn1 Sn 0.000 0.000 0.000 1
Sn2 Sn 0.166 0.166 0.500 1
# - Energy of formation: 0.054 eV per atom

[3]
# Tl2Sn13 (PBE, relaxed)
data_Tl2Sn13
_cell_length_a 8.4346
_cell_length_b 8.4346
_cell_length_c 24.8655
_cell_angle_alpha 90.00
_cell_angle_beta 90.00
_cell_angle_gamma 120.00
_space_group_name_H-M_alt 'R -3 m'
_space_group_IT_number 166
_space_group_name_Hall '-R 3 2"'
loop_
_atom_site_label
_atom_site_type_symbol
_atom_site_fract_x
_atom_site_fract_y
_atom_site_fract_z
_atom_site_occupancy
Tl1 Tl 0.0000 0.0000 0.1430 1
Sn1 Sn 0.0000 0.0000 0.0000 1
Sn2 Sn 0.0749 0.5374 0.4101 1
Sn3 Sn 0.0809 0.5405 0.2884 1
# - Energy of formation: 0.116 eV per atom

[4]
# TlSn5 (PBE, relaxed)
data_TlSn5
_cell_length_a 5.410
_cell_length_b 15.811
_cell_length_c 3.962
_cell_angle_alpha 90.00
_cell_angle_beta 90.00
_cell_angle_gamma 90.00
_space_group_name_H-M_alt 'C m m m'
_space_group_IT_number 65
_space_group_name_Hall '-C 2 2'
loop_
_atom_site_label
_atom_site_type_symbol
_atom_site_fract_x
_atom_site_fract_y
_atom_site_fract_z
_atom_site_occupancy
Tl1 Tl 0.000 0.000 0.000 1
Sn1 Sn 0.000 0.180 0.500 1
Sn2 Sn 0.000 0.338 0.000 1
Sn3 Sn 0.000 0.500 0.500 1
# - Energy of formation: 0.067 eV per atom

Computed total magnetic moment (μB per formula unit) in order:
0.00 0.00 0.00 0.00